# 1
Here is Tb2Th3Sc2 after structural relaxation from Alexandria. Energies are from PBE-GGA.

Cell: 7.094 6.247 11.658 Å, 90.00 125.17 90.00°
Element x y z (fractional)
Tb: 0.136 0.164 0.324
Tb: 0.136 0.336 0.824
Tb: 0.864 0.664 0.176
Tb: 0.864 0.836 0.676
Th: 0.000 0.000 0.000
Th: 0.000 0.500 0.500
Th: 0.349 0.016 0.677
Th: 0.349 0.484 0.177
Th: 0.651 0.516 0.823
Th: 0.651 0.984 0.323
Sc: 0.371 0.706 0.449
Sc: 0.371 0.794 0.949
Sc: 0.629 0.206 0.051
Sc: 0.629 0.294 0.551

Output
Raw total energy   -6.137 eV/atom
Formation enthalpy at 0 K   175 meV per atom
Calculated density   8.68 Mg/m³
Space group   P2_1/c, No. 14


# 2
Here is AcCeAlAu after structural relaxation from Alexandria. Energies are from PBE-GGA.

Cell: 5.432 5.432 5.432 Å, 60.00 60.00 60.00°
Element x y z (fractional)
Ac: 0.000 0.000 0.000
Ce: 0.500 0.500 0.500
Al: 0.250 0.250 0.250
Au: 0.750 0.750 0.750

Output
Raw total energy   -4.620 eV/atom
Formation enthalpy at 0 K   -354 meV per atom
Calculated density   8.66 Mg/m³
Space group   F-43m, No. 216


# 3
Here is Tb2GaPt after structural relaxation from Alexandria. Energies are from PBE-GGA.

Cell: 9.477 9.477 9.477 Å, 24.51 24.51 24.51°
Element x y z (fractional)
Tb: 0.111 0.111 0.111
Tb: 0.889 0.889 0.889
Ga: 0.000 0.000 0.000
Pt: 0.500 0.500 0.500

Output
Raw total energy   -4.981 eV/atom
Formation enthalpy at 0 K   -399 meV per atom
Calculated density   7.51 Mg/m³
Space group   R-3m, No. 166